Compound: NaTa2I
Source: Alexandria
Functional: PBE-GGA
Structure: optimized geometry

Properties
Total magnetic moment, μB per formula unit: 0.00
E_form (uncorrected), kJ/mol of atoms: 86
Volume, A^3/atom: 22.598
Energy, eV per cell: -45.98
Energy above the lowest structure with this stoichiometry, meV per atom: 0.0

Unit cell a=3.9851 b=3.9851 c=11.7269 alpha=80.22 beta=80.22 gamma=90.00
With the nearest neighbours (Å) after each atom.
Element x y z (fractional)
I 0.7500 0.2500 0.5000  4 Na 2.82
Na 0.5000 0.5000 0.0000  4 I 2.82
Ta 0.1252 0.6250 0.2500  4 Ta 2.82
Na 0.2500 0.7500 0.5000  4 I 2.82
Ta 0.3750 0.3752 0.7500  4 Ta 2.82
Ta 0.8750 0.8748 0.7500  4 Ta 2.82
Ta 0.6248 0.1250 0.2500  4 Ta 2.82
I 0.0000 0.0000 0.0000  4 Na 2.82